This record from Alexandria describes a geometry-optimized TiVReOs structure. The functional is PBE-GGA.

## Properties
For the formation energy from the elements, the calculation gives -0.471 eV per atom. For the theoretical density, the calculation gives 13.694 Mg/m³. The calculation puts the volume at 231 Å³/cell.

The structure in CIF format:
```
data_TiVReOs
_chemical_formula_sum 'Ti4 V4 Re4 Os4'
_cell_length_a 6.131
_cell_length_b 6.131
_cell_length_c 6.131
_cell_angle_alpha 90.00
_cell_angle_beta 90.00
_cell_angle_gamma 90.00
_symmetry_space_group_name_H-M 'F -4 3 m'
_symmetry_Int_Tables_number 216
_symmetry_space_group_name_Hall 'F -4 2 3'
loop_
_atom_site_label
_atom_site_type_symbol
_atom_site_fract_x
_atom_site_fract_y
_atom_site_fract_z
Ti1 Ti 0.000 0.000 0.000
V1 V 0.000 0.000 0.500
Re1 Re 0.250 0.250 0.750
Os1 Os 0.250 0.250 0.250
```


This record from Alexandria describes a geometry-optimized Ac6La3Pm2Nd structure. The functional is PBE-GGA.

## Properties
For the formation energy from the elements, the calculation gives 0.025 eV per atom. For the theoretical density, the calculation gives 7.613 Mg/m³. The calculation puts the volume at 965 Å³/cell.

The structure in CIF format:
```
data_Ac6La3Pm2Nd
_chemical_formula_sum 'Ac12 La6 Pm4 Nd2'
_cell_length_a 6.705
_cell_length_b 11.630
_cell_length_c 12.582
_cell_angle_alpha 90.00
_cell_angle_beta 100.28
_cell_angle_gamma 90.00
_symmetry_space_group_name_H-M 'C 1 2/m 1'
_symmetry_Int_Tables_number 12
loop_
_symmetry_equiv_pos_as_xyz
'x,y,z'
'-x,-y,-z'
'-x,y,-z'
'x,-y,z'
'x+1/2,y+1/2,z'
'-x+1/2,-y+1/2,-z'
'-x+1/2,y+1/2,-z'
'x+1/2,-y+1/2,z'
loop_
_atom_site_label
_atom_site_type_symbol
_atom_site_fract_x
_atom_site_fract_y
_atom_site_fract_z
Ac1 Ac 0.249 0.000 0.247
Ac2 Ac 0.249 0.333 0.246
La1 La 0.000 0.000 0.500
La2 La 0.000 0.333 0.500
Pm1 Pm 0.000 0.167 0.000
Nd1 Nd 0.000 0.500 0.000
```


This record from Alexandria describes a geometry-optimized Y3Ge6Pt20 structure. The functional is PBE-GGA.

## Properties
For the formation energy from the elements, the calculation gives -0.580 eV per atom. For the theoretical density, the calculation gives 15.365 Mg/m³. The calculation puts the volume at 1990 Å³/cell.

The structure in CIF format:
```
data_Y3Ge6Pt20
_chemical_formula_sum 'Y12 Ge24 Pt80'
_cell_length_a 12.579
_cell_length_b 12.579
_cell_length_c 12.579
_cell_angle_alpha 90.00
_cell_angle_beta 90.00
_cell_angle_gamma 90.00
_symmetry_space_group_name_H-M 'F m -3 m'
_symmetry_Int_Tables_number 225
_symmetry_space_group_name_Hall '-F 4 2 3'
loop_
_atom_site_label
_atom_site_type_symbol
_atom_site_fract_x
_atom_site_fract_y
_atom_site_fract_z
Y1 Y 0.000 0.000 0.000
Y2 Y 0.250 0.250 0.250
Ge1 Ge 0.000 0.000 0.269
Pt1 Pt 0.000 0.174 0.174
Pt2 Pt 0.119 0.119 0.381
```


This record from Alexandria describes a geometry-optimized In6GaSn structure. The functional is PBE-GGA.

## Properties
For the formation energy from the elements, the calculation gives 0.036 eV per atom. For the theoretical density, the calculation gives 6.949 Mg/m³. The calculation puts the volume at 210 Å³/cell.

The structure in CIF format:
```
data_In6GaSn
_chemical_formula_sum 'In6 Ga1 Sn1'
_cell_length_a 4.525
_cell_length_b 4.525
_cell_length_c 10.238
_cell_angle_alpha 90.00
_cell_angle_beta 90.00
_cell_angle_gamma 90.00
_symmetry_space_group_name_H-M 'P 4/m m m'
_symmetry_Int_Tables_number 123
_symmetry_space_group_name_Hall '-P 4 2'
loop_
_atom_site_label
_atom_site_type_symbol
_atom_site_fract_x
_atom_site_fract_y
_atom_site_fract_z
In1 In 0.000 0.000 0.000
In2 In 0.000 0.000 0.500
In3 In 0.000 0.500 0.242
Ga1 Ga 0.500 0.500 0.000
Sn1 Sn 0.500 0.500 0.500
```


This record from Alexandria describes a geometry-optimized Ca3Tl6Pd5 structure. The functional is PBE-GGA.

## Properties
For the formation energy from the elements, the calculation gives -0.401 eV per atom. For the theoretical density, the calculation gives 9.554 Mg/m³. The calculation puts the volume at 653 Å³/cell.

The structure in CIF format:
```
data_Ca3Tl6Pd5
_chemical_formula_sum 'Ca6 Tl12 Pd10'
_cell_length_a 4.476
_cell_length_b 14.052
_cell_length_c 10.383
_cell_angle_alpha 90.00
_cell_angle_beta 90.00
_cell_angle_gamma 90.00
_symmetry_space_group_name_H-M 'P m m n'
_symmetry_Int_Tables_number 59
loop_
_symmetry_equiv_pos_as_xyz
'x,y,z'
'-x,-y,-z'
'-x+1/2,-y+1/2,z'
'x+1/2,y+1/2,-z'
'x+1/2,-y,-z'
'-x+1/2,y,z'
'-x,y+1/2,-z'
'x,-y+1/2,z'
loop_
_atom_site_label
_atom_site_type_symbol
_atom_site_fract_x
_atom_site_fract_y
_atom_site_fract_z
Ca1 Ca 0.250 0.046 0.249
Ca2 Ca 0.250 0.750 0.216
Tl1 Tl 0.250 0.071 0.918
Tl2 Tl 0.250 0.250 0.115
Tl3 Tl 0.250 0.250 0.474
Tl4 Tl 0.250 0.588 0.518
Pd1 Pd 0.250 0.098 0.655
Pd2 Pd 0.250 0.637 0.937
Pd3 Pd 0.250 0.750 0.704
```


This record from Alexandria describes a geometry-optimized Na2ThCl5 structure. The functional is PBE-GGA.

## Properties
Its uncorrected formation energy is -1.8392 eV per atom. For the theoretical density, the calculation gives 3.713 Mg/m³. The calculation puts the volume at 814 Å³/cell.

The structure in CIF format:
```
data_Na2ThCl5
_chemical_formula_sum 'Na8 Th4 Cl20'
_cell_length_a 13.630
_cell_length_b 7.545
_cell_length_c 7.920
_cell_angle_alpha 90.00
_cell_angle_beta 90.00
_cell_angle_gamma 90.00
_symmetry_space_group_name_H-M 'P n m a'
_symmetry_Int_Tables_number 62
loop_
_symmetry_equiv_pos_as_xyz
'x,y,z'
'-x,-y,-z'
'-x+1/2,-y,z+1/2'
'x+1/2,y,-z+1/2'
'x+1/2,-y+1/2,-z+1/2'
'-x+1/2,y+1/2,z+1/2'
'-x,y+1/2,-z'
'x,-y+1/2,z'
loop_
_atom_site_label
_atom_site_type_symbol
_atom_site_fract_x
_atom_site_fract_y
_atom_site_fract_z
Na1 Na 0.173 0.005 0.038
Th1 Th 0.015 0.750 0.451
Cl1 Cl 0.028 0.750 0.089
Cl2 Cl 0.115 0.519 0.677
Cl3 Cl 0.134 0.250 0.304
Cl4 Cl 0.213 0.750 0.348
```


This record from Alexandria describes a geometry-optimized ZrNbReIr structure. The functional is PBE-GGA.

## Properties
For the formation energy from the elements, the calculation gives -0.391 eV per atom. For the theoretical density, the calculation gives 13.568 Mg/m³. The calculation puts the volume at 275 Å³/cell.

The structure in CIF format:
```
data_ZrNbReIr
_chemical_formula_sum 'Zr4 Nb4 Re4 Ir4'
_cell_length_a 6.506
_cell_length_b 6.506
_cell_length_c 6.506
_cell_angle_alpha 90.00
_cell_angle_beta 90.00
_cell_angle_gamma 90.00
_symmetry_space_group_name_H-M 'F -4 3 m'
_symmetry_Int_Tables_number 216
_symmetry_space_group_name_Hall 'F -4 2 3'
loop_
_atom_site_label
_atom_site_type_symbol
_atom_site_fract_x
_atom_site_fract_y
_atom_site_fract_z
Zr1 Zr 0.000 0.000 0.000
Nb1 Nb 0.000 0.000 0.500
Re1 Re 0.250 0.250 0.250
Ir1 Ir 0.250 0.250 0.750
```


This record from Alexandria describes a geometry-optimized Re2NiGe structure. The functional is PBE-GGA.

## Properties
For the formation energy from the elements, the calculation gives 1.533 eV per atom. For the theoretical density, the calculation gives 10.462 Mg/m³. The calculation puts the volume at 320 Å³/cell.

The structure in CIF format:
```
data_Re2NiGe
_chemical_formula_sum 'Re8 Ni4 Ge4'
_cell_length_a 5.681
_cell_length_b 5.681
_cell_length_c 9.910
_cell_angle_alpha 90.00
_cell_angle_beta 90.00
_cell_angle_gamma 90.00
_symmetry_space_group_name_H-M 'I -4 2 d'
_symmetry_Int_Tables_number 122
_symmetry_space_group_name_Hall 'I -4 2bw'
loop_
_atom_site_label
_atom_site_type_symbol
_atom_site_fract_x
_atom_site_fract_y
_atom_site_fract_z
Re1 Re 0.222 0.250 0.125
Ni1 Ni 0.000 0.000 0.000
Ge1 Ge 0.000 0.000 0.500
```


Q: Which value of volume does entry 4 give?
A: 210 Å³/cell


Q: Which of these has the highest theoretical density?
A: Y3Ge6Pt20


Q: Which of these has the highest theoretical density?
A: Y3Ge6Pt20